VASP calculation (GGA-PBE) on NaCdIn5Pb2 after structural relaxation.

abc: 4.5288 7.9403 14.3681
angles: 90.00 90.00 106.57
Last column: nearest neighbours and their distance in Å.
Sites, in units of the cell vectors:
Na  0.5888  0.1777  0.9264  6 In 3.32-3.59, 2 Cd 3.34, 4 Pb 3.36-3.44
Na  0.4112  0.8223  0.4264  6 In 3.32-3.59, 2 Cd 3.34, 4 Pb 3.36-3.44
Cd  0.7500  0.5000  0.4278  7 In 3.24-3.57, 2 Na 3.34, 3 Pb 3.42-3.49
Cd  0.2500  0.5000  0.9278  7 In 3.24-3.57, 2 Na 3.34, 3 Pb 3.42-3.49
In  0.4191  0.8382  0.0903  4 Pb 3.27-3.30, 6 In 3.42-3.62, 1 Cd 3.47, 1 Na 3.50
In  0.7549  0.5098  0.7625  2 Cd 3.28, 6 In 3.36-3.62, 3 Pb 3.39-3.40, 1 Na 3.46
In  0.4176  0.8353  0.7545  6 In 3.22-3.48, 4 Pb 3.32-3.46, 1 Cd 3.57, 1 Na 3.59
In  0.2505  0.5010  0.5894  2 Cd 3.24, 7 In 3.35-3.48, 1 Na 3.39, 2 Pb 3.40-3.50
In  0.9123  0.8246  0.5956  7 In 3.22-3.42, 2 Na 3.32, 1 Cd 3.45, 2 Pb 3.53-3.57
In  0.5809  0.1618  0.5903  4 Pb 3.27-3.30, 6 In 3.42-3.62, 1 Cd 3.47, 1 Na 3.50
In  0.2451  0.4902  0.2625  2 Cd 3.28, 6 In 3.36-3.62, 3 Pb 3.39-3.40, 1 Na 3.46
In  0.5824  0.1647  0.2545  6 In 3.22-3.48, 4 Pb 3.32-3.46, 1 Cd 3.57, 1 Na 3.59
In  0.7495  0.4990  0.0894  2 Cd 3.24, 7 In 3.35-3.48, 1 Na 3.39, 2 Pb 3.40-3.50
In  0.0877  0.1754  0.0956  7 In 3.22-3.42, 2 Na 3.32, 1 Cd 3.45, 2 Pb 3.53-3.57
Pb  0.9184  0.8368  0.9236  7 In 3.30-3.57, 2 Cd 3.42, 2 Na 3.44, 1 Pb 3.57
Pb  0.0897  0.1793  0.7539  8 In 3.27-3.53, 2 Na 3.36, 1 Cd 3.49, 1 Pb 3.57
Pb  0.0816  0.1632  0.4236  7 In 3.30-3.57, 2 Cd 3.42, 2 Na 3.44, 1 Pb 3.57
Pb  0.9103  0.8207  0.2539  8 In 3.27-3.53, 2 Na 3.36, 1 Cd 3.49, 1 Pb 3.57

Results
formation energy: -13 meV per atom
space group: Cmc2_1


VASP calculation (GGA-PBE) on NaCdIn2Pb2 after structural relaxation.

abc: 4.8937 6.7278 10.2058
angles: 90.00 90.00 90.00
Last column: nearest neighbours and their distance in Å.
Sites, in units of the cell vectors:
Na  0.0000  0.8828  0.4953  5 In 3.25-3.41, 1 Pb 3.26, 4 Cd 3.35-3.44, 2 Na 3.37
Na  0.0000  0.3828  0.5047  5 In 3.25-3.41, 1 Pb 3.26, 4 Cd 3.35-3.44, 2 Na 3.37
Cd  0.5000  0.1392  0.6604  5 In 3.26-3.42, 4 Na 3.35-3.44, 3 Pb 3.38-3.51
Cd  0.5000  0.6392  0.3396  5 In 3.26-3.42, 4 Na 3.35-3.44, 3 Pb 3.38-3.51
In  0.0000  0.3797  0.8230  1 Na 3.25, 6 Pb 3.34-3.50, 2 Cd 3.37, 2 In 3.41
In  0.5000  0.1302  0.3415  3 Cd 3.26-3.42, 4 Na 3.35-3.41, 3 Pb 3.38-3.44, 2 In 3.41
In  0.0000  0.8797  0.1770  1 Na 3.25, 6 Pb 3.34-3.50, 2 Cd 3.37, 2 In 3.41
In  0.5000  0.6302  0.6585  3 Cd 3.26-3.42, 4 Na 3.35-3.41, 3 Pb 3.38-3.44, 2 In 3.41
Pb  0.5000  0.1305  0.0043  6 Pb 3.37-3.53, 5 In 3.44-3.50, 1 Cd 3.51
Pb  0.0000  0.3833  0.1848  1 Na 3.26, 4 In 3.34-3.39, 2 Cd 3.38, 4 Pb 3.50-3.53
Pb  0.5000  0.6305  0.9957  6 Pb 3.37-3.53, 5 In 3.44-3.50, 1 Cd 3.51
Pb  0.0000  0.8833  0.8152  1 Na 3.26, 4 In 3.34-3.39, 2 Cd 3.38, 4 Pb 3.50-3.53

Results
formation energy: -32 meV per atom
space group: Pmc2_1


VASP calculation (GGA-PBE) on Na2Cd2In2Pb after structural relaxation.

abc: 5.1272 5.1272 9.2398
angles: 73.89 73.89 60.00
Last column: nearest neighbours and their distance in Å.
Sites, in units of the cell vectors:
Na  0.1318  0.1318  0.6047  4 In 3.34-3.37, 3 Cd 3.45, 1 Pb 3.46, 3 Na 3.48
Na  0.8682  0.8682  0.3953  4 In 3.34-3.37, 3 Cd 3.45, 1 Pb 3.46, 3 Na 3.48
Cd  0.6024  0.6024  0.1929  3 In 2.97
Cd  0.3976  0.3976  0.8071  3 In 2.97
In  0.7399  0.7399  0.7804  3 Cd 2.97
In  0.2601  0.2601  0.2196  3 Cd 2.97
Pb  0.0000  0.0000  0.0000  6 Cd 3.41, 2 Na 3.46, 6 In 3.53

Results
formation energy: -40 meV per atom
space group: R-3m


VASP calculation (GGA-PBE) on Na2CdIn4Pb2 after structural relaxation.

abc: 7.1890 7.1890 7.1890
angles: 88.40 120.93 120.93
Last column: nearest neighbours and their distance in Å.
Sites, in units of the cell vectors:
Na  0.0000  0.7250  0.7250  1 Cd 2.83
Na  0.0000  0.2750  0.2750  1 Cd 2.83
Cd  0.0000  0.0000  0.0000  4 In 2.80, 2 Na 2.83
In  0.0000  0.7202  0.2798  1 Cd 2.80, 2 In 3.12
In  0.4404  0.7202  0.7202  1 Cd 2.80, 2 In 3.12
In  0.0000  0.2798  0.7202  1 Cd 2.80, 2 In 3.12
In  0.5596  0.2798  0.2798  1 Cd 2.80, 2 In 3.12
Pb  0.5000  0.7500  0.2500  4 Na 3.55, 8 In 3.61
Pb  0.5000  0.2500  0.7500  4 Na 3.55, 8 In 3.61

Results
formation energy: 32 meV per atom
space group: I4/mmm


VASP calculation (GGA-PBE) on Na4Cd2In2Pb after structural relaxation.

abc: 6.0863 8.5816 7.9166
angles: 118.68 138.12 73.83
Last column: nearest neighbours and their distance in Å.
Sites, in units of the cell vectors:
Na  0.4522  0.7686  0.8811  2 Cd 3.11-3.22, 3 Na 3.24-3.41, 2 In 3.35-3.37, 1 Pb 3.38
Na  0.6497  0.6842  0.3513  2 Cd 3.19-3.23, 4 In 3.21-3.48, 3 Na 3.24-3.41, 1 Pb 3.44
Na  0.5478  0.2314  0.1189  2 Cd 3.11-3.22, 3 Na 3.24-3.41, 2 In 3.35-3.37, 1 Pb 3.38
Na  0.3503  0.3158  0.6487  2 Cd 3.19-3.23, 4 In 3.21-3.48, 3 Na 3.24-3.41, 1 Pb 3.44
Cd  0.2001  0.8956  0.4417  1 Cd 3.05, 4 Na 3.11-3.23, 1 In 3.15, 2 Pb 3.25-3.26
Cd  0.7999  0.1044  0.5583  1 Cd 3.05, 4 Na 3.11-3.23, 1 In 3.15, 2 Pb 3.25-3.26
In  0.1092  0.4788  0.2391  2 In 3.13-3.18, 1 Cd 3.15, 6 Na 3.21-3.48
In  0.8908  0.5212  0.7609  2 In 3.13-3.18, 1 Cd 3.15, 6 Na 3.21-3.48
Pb  0.0000  0.0000  0.0000  4 Cd 3.25-3.26, 6 Na 3.38-3.63, 2 In 3.62

Results
formation energy: -100 meV per atom
space group: P-1


VASP calculation (GGA-PBE) on NaCdIn4Pd2 after structural relaxation.

abc: 4.1947 4.1947 11.6415
angles: 90.00 90.00 90.00
Last column: nearest neighbours and their distance in Å.
Sites, in units of the cell vectors:
Na  0.0000  0.0000  0.0000  8 In 3.41
Cd  0.0000  0.0000  0.5000  8 Pd 3.25
In  0.0000  0.5000  0.2314  2 Pd 2.77, 4 In 2.97
In  0.5000  0.0000  0.7686  2 Pd 2.77, 4 In 2.97
In  0.5000  0.0000  0.2314  2 Pd 2.77, 4 In 2.97
In  0.0000  0.5000  0.7686  2 Pd 2.77, 4 In 2.97
Pd  0.5000  0.5000  0.3867  1 Pd 2.64, 4 In 2.77
Pd  0.5000  0.5000  0.6133  1 Pd 2.64, 4 In 2.77

Results
formation energy: -71 meV per atom
space group: P4/mmm


VASP calculation (GGA-PBE) on NaCdIn2Pd after structural relaxation.

abc: 5.1735 5.1735 5.2883
angles: 90.00 90.00 90.00
Last column: nearest neighbours and their distance in Å.
Sites, in units of the cell vectors:
Na  0.5000  0.5000  0.5000  4 Cd 3.66, 8 In 3.70
Cd  0.0000  0.0000  0.5000  2 Pd 2.64
Pd  0.0000  0.0000  0.0000  4 In 2.59, 2 Cd 2.64
In  0.0000  0.5000  0.0000  2 Pd 2.59
In  0.5000  0.0000  0.0000  2 Pd 2.59

Results
formation energy: -149 meV per atom
space group: P4/mmm


VASP calculation (GGA-PBE) on NaCd4InPd2 after structural relaxation.

abc: 5.4333 5.4333 6.0882
angles: 90.00 90.00 90.00
Last column: nearest neighbours and their distance in Å.
Sites, in units of the cell vectors:
Na  0.0000  0.0000  0.0000  2 In 3.04, 8 Cd 3.12
Cd  0.0000  0.5000  0.2508  2 Pd 2.72, 1 Cd 3.03
Cd  0.5000  0.0000  0.7492  2 Pd 2.72, 1 Cd 3.03
Cd  0.5000  0.0000  0.2508  2 Pd 2.72, 1 Cd 3.03
Cd  0.0000  0.5000  0.7492  2 Pd 2.72, 1 Cd 3.03
In  0.0000  0.0000  0.5000  2 Na 3.04, 8 Cd 3.11
Pd  0.5000  0.5000  0.2290  4 Cd 2.72, 1 Pd 2.79
Pd  0.5000  0.5000  0.7710  4 Cd 2.72, 1 Pd 2.79

Results
formation energy: 11 meV per atom
space group: P4/mmm


| no. | D(E_F) (states/eV/f.u.) |
| --- | --- |
| 1 | 4.4 |
| 2 | 2.6 |
| 3 | 3.9 |
| 4 | 3.3 |
| 5 | 3.4 |
| 6 | 2.7 |
| 7 | 2.4 |
| 8 | 2.7 |